# Cs2W3O12, optimized geometry, DFT GGA+U
data_Cs2W3O12
_chemical_formula_sum 'Cs2 W3 O12'
_space_group_name_H-M_alt 'P 1'
_space_group_IT_number 1
_cell_length_a 7.346
_cell_length_b 7.531
_cell_length_c 8.015
_cell_angle_alpha 89.67
_cell_angle_beta 63.20
_cell_angle_gamma 61.02
loop_
_space_group_symop_operation_xyz
'x,y,z'
loop_
_atom_site_label
_atom_site_fract_x
_atom_site_fract_y
_atom_site_fract_z
Cs1 0.000 0.000 0.000
Cs2 0.478 0.277 0.754
W1 0.279 0.133 0.386
W2 0.315 0.620 0.327
W3 0.758 0.638 0.425
O1 0.155 0.189 0.648
O2 0.178 0.684 0.624
O3 0.229 0.913 0.341
O4 0.379 0.339 0.360
O5 0.416 0.547 0.076
O6 0.485 0.083 0.107
O7 0.536 0.724 0.675
O8 0.583 0.917 0.383
O9 0.611 0.545 0.321
O10 0.949 0.616 0.129
O11 0.974 0.714 0.431
O12 0.978 0.348 0.401
# Raw total energy in eV/atom: -6.3876
# Total moment in μB per cell: 4.02